Record 1
Here is a geometry-optimized Ti2TcPt structure from Alexandria via LeMat-Bulk. Energies are from PBE.

The structure belongs to space group I-42d (No. 122); the cell edges are 4.039, 4.039 and 17.011 Å and the angles 90.00°, 90.00° and 90.00°. Symmetry generates all atoms from Ti at (0.243, 0.250, 0.125), Tc at (0.000, 0.000, 0.000) and Pt at (0.000, 0.000, 0.500).

The distance to the lowest polymorph of the same formula is 877 meV/atom. The value obtained for the formation energy is 35 kJ/mol of formula units. The theoretical density comes out at 9.3 Mg/m³.



Record 2
Here is a geometry-optimized Hf2GaHg structure from Alexandria via LeMat-Bulk. Energies are from PBE.

The structure belongs to space group Fm-3m (No. 225); the cell edges are 6.838, 6.838 and 6.838 Å and the angles 90.00°, 90.00° and 90.00°. Symmetry generates all atoms from Hf at (0.250, 0.250, 0.250), Ga at (0.000, 0.000, 0.000) and Hg at (0.000, 0.000, 0.500).

The distance to the lowest polymorph of the same formula is 120 meV/atom. The value obtained for the formation energy is -42 kJ/mol of formula units. The theoretical density comes out at 13.0 Mg/m³.



Record 3
Here is a geometry-optimized SmCu5Sn structure from Alexandria via LeMat-Bulk. Energies are from PBE.

The structure belongs to space group Pnma (No. 62); the cell edges are 8.314, 5.054 and 10.622 Å and the angles 90.00°, 90.00° and 90.00°. Symmetry generates all atoms from Sm at (0.247, 0.250, 0.060), Cu at (0.061, 0.750, 0.103), Cu at (0.069, 0.001, 0.312), Cu at (0.082, 0.250, 0.517), Cu at (0.182, 0.250, 0.743) and Sn at (0.139, 0.750, 0.860).

The value obtained for the formation energy is -175 kJ/mol of formula units. The theoretical density comes out at 8.7 Mg/m³.



no.,volume (Å³/cell)
1,277
2,320
3,446